1.
Compound: NdTiO3
Source: Alexandria
Functional: GGA-PBEsol
Structure: relaxed

abc: 5.412 5.644 7.750
angles: 90.00 90.00 90.00
Fractional positions:
O 0.799 0.794 0.043
Ti 0.500 0.000 0.500
Ti 0.000 0.500 0.000
O 0.920 0.520 0.750
O 0.201 0.206 0.957
Ti 0.500 0.000 0.000
O 0.299 0.706 0.543
O 0.580 0.020 0.750
O 0.701 0.294 0.457
Nd 0.011 0.941 0.750
O 0.420 0.980 0.250
O 0.701 0.294 0.043
Nd 0.511 0.559 0.250
O 0.201 0.206 0.543
Nd 0.989 0.059 0.250
Nd 0.489 0.441 0.750
Ti 0.000 0.500 0.500
O 0.080 0.480 0.250
O 0.299 0.706 0.957
O 0.799 0.794 0.457

Results
* space group: No. 62
* total energy: -181.26 eV for the cell shown
* density of states at the Fermi level: 9.00 states/eV per cell
* crystal system: orthorhombic



2.
Compound: Nd4Zr3TiO14
Source: Alexandria
Functional: GGA-PBEsol
Structure: relaxed

abc: 7.466 7.466 7.466
angles: 59.91 59.91 59.91
Fractional positions:
O 0.923 0.923 0.319
O 0.661 0.661 0.084
Zr 0.500 0.000 0.000
O 0.374 0.374 0.374
Nd 0.500 0.500 0.500
O 0.077 0.681 0.077
O 0.626 0.626 0.626
Zr 0.000 0.000 0.500
O 0.339 0.916 0.339
Nd 0.500 0.000 0.500
O 0.661 0.084 0.661
O 0.339 0.339 0.916
O 0.084 0.661 0.661
Ti 0.000 0.000 0.000
Zr 0.000 0.500 0.000
O 0.681 0.077 0.077
O 0.319 0.923 0.923
Nd 0.000 0.500 0.500
O 0.916 0.339 0.339
Nd 0.500 0.500 0.000
O 0.923 0.319 0.923
O 0.077 0.077 0.681

Results
* space group: No. 166
* total energy: -205.34 eV for the cell shown
* density of states at the Fermi level: 0.00 states/eV per cell
* crystal system: trigonal



3.
Compound: NdTlW2O8
Source: Alexandria
Functional: GGA-PBEsol
Structure: relaxed

abc: 7.534 7.600 7.600
angles: 90.70 117.55 62.45
Fractional positions:
Nd 0.250 0.773 0.773
O 0.023 0.631 0.582
O 0.184 0.792 0.050
O 0.946 0.379 0.757
Tl 0.750 0.788 0.788
W 0.269 0.697 0.308
O 0.977 0.369 0.418
O 0.554 0.757 0.379
O 0.054 0.621 0.243
O 0.634 0.610 0.074
Tl 0.250 0.212 0.212
O 0.366 0.390 0.926
O 0.523 0.418 0.369
O 0.816 0.208 0.950
O 0.134 0.926 0.390
W 0.231 0.308 0.697
O 0.684 0.950 0.208
W 0.769 0.692 0.303
O 0.866 0.074 0.610
O 0.316 0.050 0.792
Nd 0.750 0.227 0.227
O 0.477 0.582 0.631
O 0.446 0.243 0.621
W 0.731 0.303 0.692

Results
* space group: No. 15
* total energy: -211.19 eV for the cell shown
* density of states at the Fermi level: 0.00 states/eV per cell
* crystal system: monoclinic



4.
Compound: Nd2W2O9
Source: Alexandria
Functional: GGA-PBEsol
Structure: relaxed

abc: 7.647 9.224 9.825
angles: 90.00 90.00 107.49
Fractional positions:
O 0.412 0.072 0.291
W 0.931 0.761 0.251
O 0.743 0.860 0.187
O 0.504 0.178 0.596
O 0.588 0.428 0.791
O 0.264 0.360 0.634
O 0.504 0.678 0.904
O 0.257 0.140 0.813
O 0.949 0.158 0.910
O 0.743 0.360 0.313
O 0.102 0.660 0.283
O 0.012 0.905 0.380
Nd 0.285 0.572 0.452
O 0.264 0.860 0.866
W 0.069 0.239 0.749
O 0.257 0.640 0.687
Nd 0.227 0.153 0.447
Nd 0.773 0.847 0.553
O 0.496 0.322 0.096
Nd 0.773 0.347 0.947
W 0.577 0.964 0.273
Nd 0.285 0.072 0.048
O 0.496 0.822 0.404
W 0.931 0.261 0.249
O 0.775 0.077 0.378
O 0.775 0.577 0.122
W 0.069 0.739 0.751
W 0.423 0.036 0.727
O 0.736 0.140 0.134
O 0.898 0.840 0.783
O 0.225 0.923 0.622
Nd 0.715 0.428 0.548
O 0.988 0.595 0.880
O 0.051 0.342 0.410
O 0.736 0.640 0.366
O 0.554 0.608 0.604
O 0.949 0.658 0.590
O 0.446 0.392 0.396
O 0.102 0.160 0.217
Nd 0.715 0.928 0.952
O 0.225 0.423 0.878
O 0.898 0.340 0.717
W 0.577 0.464 0.227
Nd 0.227 0.653 0.053
O 0.012 0.405 0.120
O 0.554 0.108 0.896
O 0.051 0.842 0.090
O 0.446 0.892 0.104
O 0.588 0.928 0.709
O 0.988 0.095 0.620
O 0.412 0.572 0.209
W 0.423 0.536 0.773

Results
* space group: No. 14
* total energy: -484.41 eV for the cell shown
* density of states at the Fermi level: 0.00 states/eV per cell
* crystal system: monoclinic



5.
Compound: Nd2WO6
Source: Alexandria
Functional: GGA-PBEsol
Structure: relaxed

abc: 5.510 9.999 9.999
angles: 69.01 76.00 76.00
Fractional positions:
Nd 0.113 0.059 0.290
O 0.877 0.824 0.382
W 0.567 0.803 0.503
O 0.420 0.840 0.319
O 0.422 0.105 0.079
Nd 0.387 0.710 0.941
O 0.522 0.618 0.543
O 0.623 0.618 0.176
Nd 0.613 0.290 0.059
O 0.276 0.940 0.527
O 0.022 0.543 0.618
O 0.358 0.218 0.321
Nd 0.750 0.371 0.629
W 0.433 0.197 0.497
O 0.920 0.319 0.840
O 0.142 0.679 0.782
O 0.776 0.527 0.940
O 0.580 0.160 0.681
Nd 0.250 0.629 0.371
O 0.224 0.473 0.060
O 0.078 0.921 0.895
O 0.123 0.176 0.618
Nd 0.250 0.109 0.891
O 0.858 0.321 0.218
O 0.642 0.782 0.679
O 0.724 0.060 0.473
W 0.067 0.503 0.803
Nd 0.750 0.891 0.109
O 0.377 0.382 0.824
W 0.933 0.497 0.197
O 0.978 0.457 0.382
O 0.080 0.681 0.160
O 0.578 0.895 0.921
Nd 0.887 0.941 0.710
O 0.478 0.382 0.457
O 0.922 0.079 0.105

Results
* space group: No. 15
* total energy: -329.89 eV for the cell shown
* density of states at the Fermi level: 0.00 states/eV per cell
* crystal system: monoclinic



6.
Compound: Nd2WO6
Source: Alexandria
Functional: GGA-PBEsol
Structure: relaxed

abc: 5.367 9.277 10.131
angles: 90.00 90.00 90.00
Fractional positions:
Nd 0.532 0.219 0.370
O 0.566 0.849 0.524
O 0.316 0.138 0.760
W 0.957 0.504 0.351
Nd 0.474 0.603 0.537
O 0.184 0.862 0.260
Nd 0.032 0.281 0.630
O 0.222 0.390 0.436
O 0.672 0.950 0.787
Nd 0.968 0.781 0.870
O 0.722 0.110 0.564
O 0.278 0.610 0.936
O 0.811 0.365 0.821
W 0.543 0.496 0.851
O 0.684 0.638 0.740
W 0.043 0.004 0.149
Nd 0.468 0.719 0.130
O 0.172 0.550 0.213
W 0.457 0.996 0.649
O 0.328 0.450 0.713
O 0.816 0.362 0.240
Nd 0.026 0.397 0.037
O 0.689 0.635 0.321
O 0.311 0.135 0.179
O 0.753 0.591 0.991
O 0.934 0.151 0.024
O 0.434 0.349 0.976
O 0.247 0.091 0.509
O 0.778 0.890 0.064
O 0.189 0.865 0.679
O 0.066 0.651 0.476
Nd 0.526 0.103 0.963
O 0.828 0.050 0.287
O 0.747 0.409 0.491
O 0.253 0.909 0.009
Nd 0.974 0.897 0.463

Results
* space group: No. 19
* total energy: -330.27 eV for the cell shown
* density of states at the Fermi level: 0.00 states/eV per cell
* crystal system: orthorhombic



7.
Compound: NdZr9O20
Source: Alexandria
Functional: GGA-PBEsol
Structure: relaxed

abc: 6.285 7.374 8.389
angles: 73.96 75.94 70.53
Each line ends with the local moment (μB).
Fractional positions:
O 0.699 0.749 0.799  0.44
Zr 0.800 0.429 0.891  -0.01
Zr 0.609 0.632 0.284  0.00
O 0.993 0.058 0.322  0.00
Zr 0.994 0.236 0.478  0.00
O 0.114 0.331 0.981  0.02
O 0.018 0.530 0.679  0.18
O 0.266 0.295 0.264  0.01
O 0.487 0.050 0.889  0.16
O 0.898 0.543 0.395  0.02
O 0.803 0.254 0.731  0.01
O 0.640 0.322 0.433  0.00
Zr 0.398 0.840 0.676  -0.01
O 0.383 0.674 0.517  0.01
O 0.673 0.895 0.479  0.02
O 0.490 0.937 0.213  0.03
O 0.821 0.121 0.051  0.01
O 0.591 0.462 0.126  0.01
Zr 0.209 0.029 0.086  0.00
Zr 0.217 0.547 0.079  0.00
Zr 0.608 0.147 0.283  0.00
O 0.229 0.720 0.238  0.00
O 0.185 0.872 0.919  0.00
O 0.288 0.137 0.583  0.01
O 0.433 0.539 0.852  0.01
Zr 0.834 0.944 0.878  -0.01
O 0.875 0.687 0.070  0.01
O 0.025 0.921 0.642  0.01
Nd 0.400 0.344 0.693  0.01
Zr 0.017 0.754 0.470  -0.01

Results
* space group: No. 1
* total energy: -293.01 eV for the cell shown
* crystal system: triclinic



8.
Compound: NdZr9O20
Source: Alexandria
Functional: GGA-PBEsol
Structure: relaxed

abc: 6.268 7.239 8.094
angles: 102.99 97.42 106.74
Fractional positions:
O 0.952 0.261 0.159
Zr 0.799 0.098 0.598
O 0.048 0.739 0.841
O 0.556 0.475 0.354
O 0.269 0.635 0.265
O 0.630 0.420 0.056
O 0.150 0.174 0.545
O 0.355 0.075 0.951
O 0.052 0.206 0.839
O 0.739 0.874 0.750
Zr 0.000 0.000 0.000
O 0.850 0.826 0.455
O 0.444 0.525 0.646
Zr 0.601 0.702 0.200
O 0.261 0.126 0.250
Zr 0.201 0.902 0.402
O 0.370 0.580 0.944
Zr 0.602 0.199 0.202
Zr 0.203 0.400 0.401
Nd 0.000 0.500 0.000
Zr 0.797 0.600 0.599
O 0.444 0.021 0.648
Zr 0.399 0.298 0.800
O 0.731 0.365 0.735
O 0.855 0.328 0.453
O 0.556 0.979 0.352
O 0.145 0.672 0.547
Zr 0.398 0.801 0.798
O 0.948 0.794 0.161
O 0.645 0.925 0.049

Results
* space group: No. 2
* total energy: -292.53 eV for the cell shown
* density of states at the Fermi level: 8.67 states/eV per cell
* crystal system: triclinic



9.
Compound: NdOs2
Source: Alexandria
Functional: GGA-PBEsol
Structure: relaxed

abc: 5.303 5.303 9.016
angles: 90.00 90.00 120.00
Fractional positions:
Os 0.169 0.831 0.750
Nd 0.333 0.667 0.064
Os 0.169 0.339 0.750
Nd 0.667 0.333 0.936
Nd 0.667 0.333 0.564
Os 0.000 0.000 0.000
Nd 0.333 0.667 0.436
Os 0.661 0.831 0.750
Os 0.831 0.661 0.250
Os 0.339 0.169 0.250
Os 0.831 0.169 0.250
Os 0.000 0.000 0.500

Results
* space group: No. 194
* density of states at the Fermi level: 12.43 states/eV per cell
* formation energy from the elements: -0.0896 eV per atom
* crystal system: hexagonal



10.
Compound: Nd3Os
Source: Alexandria
Functional: GGA-PBEsol
Structure: relaxed

abc: 6.393 7.400 9.468
angles: 90.00 90.00 90.00
Fractional positions:
Os 0.554 0.614 0.750
Nd 0.832 0.824 0.935
Os 0.946 0.114 0.750
Nd 0.832 0.824 0.565
Nd 0.362 0.960 0.750
Os 0.446 0.386 0.250
Nd 0.638 0.040 0.250
Nd 0.668 0.324 0.935
Nd 0.668 0.324 0.565
Nd 0.168 0.176 0.065
Nd 0.332 0.676 0.435
Nd 0.332 0.676 0.065
Nd 0.168 0.176 0.435
Nd 0.862 0.540 0.250
Os 0.054 0.886 0.250
Nd 0.138 0.460 0.750

Results
* space group: No. 62
* density of states at the Fermi level: 14.59 states/eV per cell
* formation energy from the elements: -0.0752 eV per atom
* crystal system: orthorhombic



11.
Compound: NdP12Os4
Source: Alexandria
Functional: GGA-PBEsol
Structure: relaxed

abc: 6.974 6.974 6.974
angles: 109.47 109.47 109.47
Fractional positions:
P 0.501 0.144 0.357
P 0.643 0.787 0.144
P 0.856 0.643 0.499
P 0.499 0.856 0.643
Os 0.000 0.000 0.500
Nd 0.000 0.000 0.000
P 0.213 0.856 0.357
P 0.357 0.501 0.144
P 0.643 0.499 0.856
P 0.357 0.213 0.856
P 0.856 0.357 0.213
Os 0.500 0.500 0.500
Os 0.000 0.500 0.000
P 0.787 0.144 0.643
P 0.144 0.643 0.787
P 0.144 0.357 0.501
Os 0.500 0.000 0.000

Results
* space group: No. 204
* density of states at the Fermi level: 3.86 states/eV per cell
* formation energy from the elements: -0.6571 eV per atom
* crystal system: cubic



12.
Compound: NdSb12Os4
Source: Alexandria
Functional: GGA-PBEsol
Structure: relaxed

abc: 8.055 8.055 8.055
angles: 109.47 109.47 109.47
Fractional positions:
Sb 0.843 0.183 0.340
Os 0.000 0.500 0.000
Sb 0.660 0.157 0.817
Sb 0.340 0.843 0.183
Sb 0.660 0.843 0.503
Os 0.000 0.000 0.500
Os 0.500 0.000 0.000
Sb 0.340 0.157 0.497
Os 0.500 0.500 0.500
Nd 0.000 0.000 0.000
Sb 0.503 0.660 0.843
Sb 0.843 0.503 0.660
Sb 0.157 0.817 0.660
Sb 0.183 0.340 0.843
Sb 0.157 0.497 0.340
Sb 0.817 0.660 0.157
Sb 0.497 0.340 0.157

Results
* space group: No. 204
* total energy: -111.86 eV for the cell shown
* density of states at the Fermi level: 12.94 states/eV per cell
* crystal system: cubic